(1)
VASP calculation (PBE-GGA) on a relaxed CeHo2ErSb4 crystal.

magnetization = 0.70 μB per formula unit
final energy = -5.607 eV per atom
N(E_F) = 6.9 states/eV/f.u.
E_form (uncorrected) = -1.09 eV/atom
V = 30.1 Å³/atom

Cell and atoms, written as CIF:
```
data_CeHo2ErSb4
_chemical_formula_sum 'Ce1 Ho2 Er1 Sb4'
_cell_length_a 7.612
_cell_length_b 4.400
_cell_length_c 7.615
_cell_angle_alpha 90.00
_cell_angle_beta 109.45
_cell_angle_gamma 90.00
_space_group_name_H-M_alt 'P 1 2/m 1'
_space_group_IT_number 10
loop_
_space_group_symop_operation_xyz
'x,y,z'
'-x,-y,-z'
'-x,y,-z'
'x,-y,z'
loop_
_atom_site_label
_atom_site_type_symbol
_atom_site_fract_x
_atom_site_fract_y
_atom_site_fract_z
_atom_site_occupancy
Ce1 Ce 0.000 0.000 0.000 1
Ho1 Ho 0.000 0.500 0.500 1
Ho2 Ho 0.500 0.000 0.500 1
Er1 Er 0.500 0.500 0.000 1
Sb1 Sb 0.253 0.000 0.749 1
Sb2 Sb 0.255 0.500 0.254 1
```

---

(2)
VASP calculation (PBE-GGA) on a relaxed TbPrNiHg crystal.

magnetization = 0.00 μB per formula unit
final energy = -4.164 eV per atom
ΔE_f = -0.29 eV/atom
N(E_F) = 3.5 states/eV/f.u.
V = 24.4 Å³/atom

Cell and atoms, written as CIF:
```
data_TbPrNiHg
_chemical_formula_sum 'Tb4 Pr4 Ni4 Hg4'
_cell_length_a 7.310
_cell_length_b 7.310
_cell_length_c 7.310
_cell_angle_alpha 90.00
_cell_angle_beta 90.00
_cell_angle_gamma 90.00
_space_group_name_H-M_alt 'F -4 3 m'
_space_group_IT_number 216
_space_group_name_Hall 'F -4 2 3'
loop_
_atom_site_label
_atom_site_type_symbol
_atom_site_fract_x
_atom_site_fract_y
_atom_site_fract_z
_atom_site_occupancy
Tb1 Tb 0.000 0.000 0.000 1
Pr1 Pr 0.000 0.000 0.500 1
Ni1 Ni 0.250 0.250 0.250 1
Hg1 Hg 0.250 0.250 0.750 1
```

---

(3)
VASP calculation (PBE-GGA) on a relaxed Sn2HgP2 crystal.

magnetization = 0.00 μB per formula unit
final energy = -3.577 eV per atom
ΔE_f = 0.25 eV/atom
N(E_F) = 2.2 states/eV/f.u.
V = 22.4 Å³/atom
energy above the most stable polymorph in this dataset = 0.62 eV per formula unit

Cell and atoms, written as CIF:
```
data_Sn2HgP2
_chemical_formula_sum 'Sn4 Hg2 P4'
_cell_length_a 7.762
_cell_length_b 7.762
_cell_length_c 3.711
_cell_angle_alpha 90.00
_cell_angle_beta 90.00
_cell_angle_gamma 90.00
_space_group_name_H-M_alt 'P 4/m b m'
_space_group_IT_number 127
_space_group_name_Hall '-P 4 2ab'
loop_
_atom_site_label
_atom_site_type_symbol
_atom_site_fract_x
_atom_site_fract_y
_atom_site_fract_z
_atom_site_occupancy
Sn1 Sn 0.153 0.347 0.000 1
Hg1 Hg 0.000 0.000 0.500 1
P1 P 0.162 0.662 0.500 1
```

---

(4)
VASP calculation (PBE-GGA) on a relaxed TbCeAs2 crystal.

magnetization = 0.60 μB per formula unit
final energy = -6.399 eV per atom
ΔE_f = -1.43 eV/atom
N(E_F) = 5.0 states/eV/f.u.
V = 25.7 Å³/atom
energy above the most stable polymorph in this dataset = 0.21 eV per formula unit

Cell and atoms, written as CIF:
```
data_TbCeAs2
_chemical_formula_sum 'Tb2 Ce2 As4'
_cell_length_a 4.1655
_cell_length_b 4.1655
_cell_length_c 13.6825
_cell_angle_alpha 90.00
_cell_angle_beta 90.00
_cell_angle_gamma 120.00
_space_group_name_H-M_alt 'P 63/m m c'
_space_group_IT_number 194
_space_group_name_Hall '-P 6c 2c'
loop_
_atom_site_label
_atom_site_type_symbol
_atom_site_fract_x
_atom_site_fract_y
_atom_site_fract_z
_atom_site_occupancy
Tb1 Tb 0.3333 0.6667 0.2500 1
Ce1 Ce 0.0000 0.0000 0.0000 1
As1 As 0.3333 0.6667 0.6241 1
```

---

(5)
VASP calculation (PBE-GGA) on a relaxed In3Co5 crystal.

magnetization = 5.64 μB per formula unit
final energy = -5.255 eV per atom
ΔE_f = 0.21 eV/atom
N(E_F) = 9.4 states/eV/f.u.
V = 14.4 Å³/atom
energy above the most stable polymorph in this dataset = 0.00 eV per formula unit

Cell and atoms, written as CIF:
```
data_In3Co5
_chemical_formula_sum 'In6 Co10'
_cell_length_a 6.173
_cell_length_b 8.704
_cell_length_c 4.276
_cell_angle_alpha 90.00
_cell_angle_beta 90.00
_cell_angle_gamma 90.00
_space_group_name_H-M_alt 'C m m m'
_space_group_IT_number 65
_space_group_name_Hall '-C 2 2'
loop_
_atom_site_label
_atom_site_type_symbol
_atom_site_fract_x
_atom_site_fract_y
_atom_site_fract_z
_atom_site_occupancy
In1 In 0.000 0.000 0.000 1
In2 In 0.000 0.252 0.500 1
Co1 Co 0.000 0.500 0.000 1
Co2 Co 0.231 0.500 0.500 1
Co3 Co 0.250 0.250 0.000 1
```

---

(6)
VASP calculation (PBE-GGA) on a relaxed Ac3Tb3NdTe8 crystal.

magnetization = 0.00 μB per formula unit
final energy = -5.191 eV per atom
N(E_F) = 7.5 states/eV/f.u.
E_form (uncorrected) = -1.45 eV/atom
V = 35.1 Å³/atom

Cell and atoms, written as CIF:
```
data_Ac3Tb3NdTe8
_chemical_formula_sum 'Ac9 Tb9 Nd3 Te24'
_cell_length_a 8.9843
_cell_length_b 8.9843
_cell_length_c 22.6081
_cell_angle_alpha 90.00
_cell_angle_beta 90.00
_cell_angle_gamma 120.00
_space_group_name_H-M_alt 'R -3 m'
_space_group_IT_number 166
_space_group_name_Hall '-R 3 2"'
loop_
_atom_site_label
_atom_site_type_symbol
_atom_site_fract_x
_atom_site_fract_y
_atom_site_fract_z
_atom_site_occupancy
Ac1 Ac 0.0000 0.5000 0.0000 1
Tb1 Tb 0.0000 0.5000 0.5000 1
Nd1 Nd 0.0000 0.0000 0.5000 1
Te1 Te 0.0000 0.0000 0.2419 1
Te2 Te 0.0154 0.5077 0.7543 1
```

---

(7)
VASP calculation (PBE-GGA) on a relaxed KRb2CdP crystal.

magnetization = 0.00 μB per formula unit
final energy = -1.891 eV per atom
ΔE_f = -0.02 eV/atom
N(E_F) = 4.2 states/eV/f.u.
V = 49.3 Å³/atom

Cell and atoms, written as CIF:
```
data_KRb2CdP
_chemical_formula_sum 'K1 Rb2 Cd1 P1'
_cell_length_a 6.953
_cell_length_b 6.953
_cell_length_c 5.099
_cell_angle_alpha 90.00
_cell_angle_beta 90.00
_cell_angle_gamma 90.00
_space_group_name_H-M_alt 'P 4/m m m'
_space_group_IT_number 123
_space_group_name_Hall '-P 4 2'
loop_
_atom_site_label
_atom_site_type_symbol
_atom_site_fract_x
_atom_site_fract_y
_atom_site_fract_z
_atom_site_occupancy
K1 K 0.000 0.000 0.000 1
Rb1 Rb 0.000 0.500 0.500 1
Cd1 Cd 0.500 0.500 0.000 1
P1 P 0.500 0.500 0.500 1
```

---

(8)
VASP calculation (PBE-GGA) on a relaxed CaReBr2 crystal.

magnetization = 2.51 μB per formula unit
final energy = -4.171 eV per atom
N(E_F) = 2.0 states/eV/f.u.
E_form (uncorrected) = 0.28 eV/atom
V = 23.8 Å³/atom
energy above the most stable polymorph in this dataset = 1.25 eV per formula unit

Cell and atoms, written as CIF:
```
data_CaReBr2
_chemical_formula_sum 'Ca1 Re1 Br2'
_cell_length_a 3.368
_cell_length_b 4.565
_cell_length_c 6.203
_cell_angle_alpha 90.00
_cell_angle_beta 90.00
_cell_angle_gamma 90.00
_space_group_name_H-M_alt 'P m m m'
_space_group_IT_number 47
loop_
_space_group_symop_operation_xyz
'x,y,z'
'-x,-y,-z'
'-x,-y,z'
'x,y,-z'
'x,-y,-z'
'-x,y,z'
'-x,y,-z'
'x,-y,z'
loop_
_atom_site_label
_atom_site_type_symbol
_atom_site_fract_x
_atom_site_fract_y
_atom_site_fract_z
_atom_site_occupancy
Ca1 Ca 0.000 0.000 0.000 1
Re1 Re 0.500 0.000 0.500 1
Br1 Br 0.000 0.500 0.500 1
Br2 Br 0.500 0.500 0.000 1
```

---

(9)
VASP calculation (PBE-GGA) on a relaxed Sr2WAu crystal.

magnetization = 3.11 μB per formula unit
final energy = -4.270 eV per atom
ΔE_f = 0.63 eV/atom
N(E_F) = 2.7 states/eV/f.u.
V = 28.0 Å³/atom
energy above the most stable polymorph in this dataset = 0.49 eV per formula unit

Cell and atoms, written as CIF:
```
data_Sr2WAu
_chemical_formula_sum 'Sr2 W1 Au1'
_cell_length_a 3.809
_cell_length_b 3.809
_cell_length_c 7.724
_cell_angle_alpha 90.00
_cell_angle_beta 90.00
_cell_angle_gamma 90.00
_space_group_name_H-M_alt 'P 4/m m m'
_space_group_IT_number 123
_space_group_name_Hall '-P 4 2'
loop_
_atom_site_label
_atom_site_type_symbol
_atom_site_fract_x
_atom_site_fract_y
_atom_site_fract_z
_atom_site_occupancy
Sr1 Sr 0.000 0.000 0.249 1
W1 W 0.500 0.500 0.500 1
Au1 Au 0.500 0.500 0.000 1
```

---

(10)
VASP calculation (PBE-GGA) on a relaxed Tb2Er6TmSc3 crystal.

magnetization = 0.00 μB per formula unit
final energy = -4.965 eV per atom
ΔE_f = 0.04 eV/atom
N(E_F) = 18.3 states/eV/f.u.
V = 29.1 Å³/atom

Cell and atoms, written as CIF:
```
data_Tb2Er6TmSc3
_chemical_formula_sum 'Tb4 Er12 Tm2 Sc6'
_cell_length_a 5.999
_cell_length_b 10.381
_cell_length_c 11.406
_cell_angle_alpha 90.00
_cell_angle_beta 100.07
_cell_angle_gamma 90.00
_space_group_name_H-M_alt 'C 1 2/m 1'
_space_group_IT_number 12
loop_
_space_group_symop_operation_xyz
'x,y,z'
'-x,-y,-z'
'-x,y,-z'
'x,-y,z'
'x+1/2,y+1/2,z'
'-x+1/2,-y+1/2,-z'
'-x+1/2,y+1/2,-z'
'x+1/2,-y+1/2,z'
loop_
_atom_site_label
_atom_site_type_symbol
_atom_site_fract_x
_atom_site_fract_y
_atom_site_fract_z
_atom_site_occupancy
Tb1 Tb 0.000 0.167 0.000 1
Er1 Er 0.247 0.167 0.741 1
Er2 Er 0.247 0.500 0.741 1
Tm1 Tm 0.000 0.500 0.000 1
Sc1 Sc 0.000 0.000 0.500 1
Sc2 Sc 0.000 0.333 0.500 1
```

---

(11)
VASP calculation (PBE-GGA) on a relaxed Ho2TmThN4 crystal.

magnetization = 0.00 μB per formula unit
final energy = -8.499 eV per atom
N(E_F) = 1.7 states/eV/f.u.
E_form (uncorrected) = -1.71 eV/atom
V = 15.2 Å³/atom

Cell and atoms, written as CIF:
```
data_Ho2TmThN4
_chemical_formula_sum 'Ho2 Tm1 Th1 N4'
_cell_length_a 6.053
_cell_length_b 3.506
_cell_length_c 6.054
_cell_angle_alpha 90.00
_cell_angle_beta 109.31
_cell_angle_gamma 90.00
_space_group_name_H-M_alt 'P 1 2/m 1'
_space_group_IT_number 10
loop_
_space_group_symop_operation_xyz
'x,y,z'
'-x,-y,-z'
'-x,y,-z'
'x,-y,z'
loop_
_atom_site_label
_atom_site_type_symbol
_atom_site_fract_x
_atom_site_fract_y
_atom_site_fract_z
_atom_site_occupancy
Ho1 Ho 0.000 0.000 0.000 1
Ho2 Ho 0.500 0.500 0.000 1
Tm1 Tm 0.000 0.500 0.500 1
Th1 Th 0.500 0.000 0.500 1
N1 N 0.245 0.500 0.247 1
N2 N 0.247 0.000 0.748 1
```

---

(12)
VASP calculation (PBE-GGA) on a relaxed Sc2ZnP crystal.

magnetization = 0.50 μB per formula unit
final energy = -5.560 eV per atom
ΔE_f = -0.72 eV/atom
N(E_F) = 3.0 states/eV/f.u.
V = 17.8 Å³/atom
energy above the most stable polymorph in this dataset = 0.52 eV per formula unit

Cell and atoms, written as CIF:
```
data_Sc2ZnP
_chemical_formula_sum 'Sc2 Zn1 P1'
_cell_length_a 3.418
_cell_length_b 3.419
_cell_length_c 6.082
_cell_angle_alpha 90.00
_cell_angle_beta 90.18
_cell_angle_gamma 90.00
_space_group_name_H-M_alt 'P 1 2/m 1'
_space_group_IT_number 10
loop_
_space_group_symop_operation_xyz
'x,y,z'
'-x,-y,-z'
'-x,y,-z'
'x,-y,z'
loop_
_atom_site_label
_atom_site_type_symbol
_atom_site_fract_x
_atom_site_fract_y
_atom_site_fract_z
_atom_site_occupancy
Sc1 Sc 0.002 0.000 0.266 1
Zn1 Zn 0.500 0.500 0.000 1
P1 P 0.500 0.500 0.500 1
```